[1]
# Tm2Sc3Ga4

An optimized crystal structure of Tm2Sc3Ga4 (PBE, Alexandria).

Output
ΔE_f ... -0.614 eV per atom
Spin magnetization ... 0.00 μB per formula unit
Total DFT energy (no corrections) ... -5.063 eV/atom
ΔE to the lowest computed polymorph ... 0.00 kcal/mol of atoms

```
data_Tm2Sc3Ga4
_chemical_formula_sum 'Tm4 Sc6 Ga8'
_symmetry_space_group_name_H-M 'P 1 21/c 1'
_symmetry_Int_Tables_number 14
_symmetry_space_group_name_Hall '-P 2ybc'
_cell_length_a 7.525
_cell_length_b 7.539
_cell_length_c 7.216
_cell_angle_alpha 90.00
_cell_angle_beta 107.88
_cell_angle_gamma 90.00
loop_
_atom_site_label
_atom_site_type_symbol
_atom_site_fract_x
_atom_site_fract_y
_atom_site_fract_z
_atom_site_occupancy
Tm1 Tm 0.193 0.178 0.071 1
Sc1 Sc 0.246 0.676 0.248 1
Sc2 Sc 0.500 0.000 0.500 1
Ga1 Ga 0.080 0.532 0.862 1
Ga2 Ga 0.494 0.123 0.872 1
```

=====

[2]
# TbIn2Au

An optimized crystal structure of TbIn2Au (PBE, Alexandria).

Output
ΔE_f ... -0.500 eV per atom
Spin magnetization ... 0.00 μB per formula unit
Total DFT energy (no corrections) ... -3.846 eV/atom

```
data_TbIn2Au
_chemical_formula_sum 'Tb1 In2 Au1'
_symmetry_space_group_name_H-M 'P 4/m m m'
_symmetry_Int_Tables_number 123
_symmetry_space_group_name_Hall '-P 4 2'
_cell_length_a 4.509
_cell_length_b 4.509
_cell_length_c 4.566
_cell_angle_alpha 90.00
_cell_angle_beta 90.00
_cell_angle_gamma 90.00
loop_
_atom_site_label
_atom_site_type_symbol
_atom_site_fract_x
_atom_site_fract_y
_atom_site_fract_z
_atom_site_occupancy
Tb1 Tb 0.000 0.000 0.000 1
In1 In 0.000 0.500 0.500 1
Au1 Au 0.500 0.500 0.000 1
```

=====

[3]
# La2CoBiH

An optimized crystal structure of La2CoBiH (PBE, Alexandria).

Output
Spin magnetization ... 1.32 μB per formula unit
Total DFT energy (no corrections) ... -5.174 eV/atom

```
data_La2CoBiH
_chemical_formula_sum 'La2 Co1 Bi1 H1'
_symmetry_space_group_name_H-M 'P 4/m m m'
_symmetry_Int_Tables_number 123
_symmetry_space_group_name_Hall '-P 4 2'
_cell_length_a 5.225
_cell_length_b 5.225
_cell_length_c 4.106
_cell_angle_alpha 90.00
_cell_angle_beta 90.00
_cell_angle_gamma 90.00
loop_
_atom_site_label
_atom_site_type_symbol
_atom_site_fract_x
_atom_site_fract_y
_atom_site_fract_z
_atom_site_occupancy
La1 La 0.000 0.500 0.000 1
Co1 Co 0.000 0.000 0.500 1
Bi1 Bi 0.500 0.500 0.500 1
H1 H 0.000 0.000 0.000 1
```

=====

[4]
# La2Nd3Sm3

An optimized crystal structure of La2Nd3Sm3 (PBE, Alexandria).

Output
ΔE_f ... 0.015 eV per atom
Spin magnetization ... 0.00 μB per formula unit
Total DFT energy (no corrections) ... -4.774 eV/atom
ΔE to the lowest computed polymorph ... 0.00 kcal/mol of atoms

```
data_La2Nd3Sm3
_chemical_formula_sum 'La4 Nd6 Sm6'
_symmetry_space_group_name_H-M 'C 1 2/m 1'
_symmetry_Int_Tables_number 12
_symmetry_space_group_name_Hall '-C 2y'
_cell_length_a 21.397
_cell_length_b 5.205
_cell_length_c 5.206
_cell_angle_alpha 90.00
_cell_angle_beta 104.00
_cell_angle_gamma 90.00
loop_
_atom_site_label
_atom_site_type_symbol
_atom_site_fract_x
_atom_site_fract_y
_atom_site_fract_z
_atom_site_occupancy
La1 La 0.250 0.000 0.250 1
Nd1 Nd 0.000 0.000 0.000 1
Nd2 Nd 0.123 0.000 0.623 1
Sm1 Sm 0.000 0.500 0.500 1
Sm2 Sm 0.123 0.500 0.123 1
```

=====

[5]
# LuTiHg

An optimized crystal structure of LuTiHg (PBE, Alexandria).

Output
ΔE_f ... -0.114 eV per atom
Spin magnetization ... 0.00 μB per formula unit
Total DFT energy (no corrections) ... -4.354 eV/atom

```
data_LuTiHg
_chemical_formula_sum 'Lu2 Ti2 Hg2'
_symmetry_space_group_name_H-M 'I 4 m m'
_symmetry_Int_Tables_number 107
_symmetry_space_group_name_Hall 'I 4 -2'
_cell_length_a 3.289
_cell_length_b 3.289
_cell_length_c 12.144
_cell_angle_alpha 90.00
_cell_angle_beta 90.00
_cell_angle_gamma 90.00
loop_
_atom_site_label
_atom_site_type_symbol
_atom_site_fract_x
_atom_site_fract_y
_atom_site_fract_z
_atom_site_occupancy
Lu1 Lu 0.000 0.000 0.000 1
Ti1 Ti 0.000 0.000 0.668 1
Hg1 Hg 0.000 0.000 0.316 1
```

=====

[6]
# Li4NiIr

An optimized crystal structure of Li4NiIr (PBE, Alexandria).

Output
ΔE_f ... 0.151 eV per atom
Spin magnetization ... 0.33 μB per formula unit
Total DFT energy (no corrections) ... -3.565 eV/atom

```
data_Li4NiIr
_chemical_formula_sum 'Li8 Ni2 Ir2'
_symmetry_space_group_name_H-M 'I -4'
_symmetry_Int_Tables_number 82
_symmetry_space_group_name_Hall 'I -4'
_cell_length_a 4.740
_cell_length_b 4.740
_cell_length_c 6.430
_cell_angle_alpha 90.00
_cell_angle_beta 90.00
_cell_angle_gamma 90.00
loop_
_atom_site_label
_atom_site_type_symbol
_atom_site_fract_x
_atom_site_fract_y
_atom_site_fract_z
_atom_site_occupancy
Li1 Li 0.049 0.252 0.374 1
Ni1 Ni 0.000 0.500 0.750 1
Ir1 Ir 0.000 0.000 0.000 1
```